Pm3Sn4As after structural relaxation. Source: OQMD, functional GGA-PBE.

Cell: 7.869 7.869 4.445 Å, 105.65 105.65 64.59°
Fractional coordinates of all 8 atoms:
Sn: 0.168 0.584 0.381
Sn: 0.832 0.416 0.619
As: 0.000 0.000 0.500
Sn: 0.416 0.832 0.619
Sn: 0.584 0.168 0.381
Pm: 0.843 0.843 0.849
Pm: 0.157 0.157 0.151
Pm: 0.500 0.500 0.000

Calculated values
Its symmetry is No. 12. The calculation puts the final energy at -4.900 eV/atom.